# 1
Computed, not measured: InSi2Tc after structural relaxation at the PBE level of DFT.

Calculated values
E_form (uncorrected)	30	kJ per mole of atoms
volume	64.3	Å³/f.u.

Cell: 3.296 4.668 8.357 Å, 90.00 90.00 90.00°
Space group Imm2 (No. 44)
Asymmetric unit:
In 0.000 0.000 0.000
Si 0.000 0.000 0.491
Si 0.000 0.500 0.768
Tc 0.000 0.500 0.221


# 2
Computed, not measured: In2SiTc after structural relaxation at the PBE level of DFT.

Calculated values
E_form (uncorrected)	39	kJ per mole of atoms
volume	73.5	Å³/f.u.

Cell: 5.390 8.107 3.366 Å, 90.00 90.00 90.00°
Space group Cmmm (No. 65)
Asymmetric unit:
In 0.250 0.250 0.000
Si 0.000 0.000 0.500
Tc 0.000 0.500 0.500


The highest volume belongs to which entry? In2SiTc